a | ! Zn2SbAs (GGA-PBE, optimized geometry); values from VASP
! V: 20.2 A^3/atom
! N(E_F): 0.866 states/eV/cell
! Spin magnetization: 0.00 μB/cell
&SYSTEM
  ibrav = 0, nat = 4, ntyp = 3
/
ATOMIC_SPECIES
As 74.92 As.upf
Zn 65.41 Zn.upf
Sb 121.76 Sb.upf
CELL_PARAMETERS angstrom
-2.0766 -3.4026 -2.7994
3.6719 -1.0238 -1.4794
0.8893 -2.8453 2.7987
ATOMIC_POSITIONS angstrom
As 2.1470 -1.8215 0.6214
Zn 0.0824 -2.6517 -1.0759
Zn 0.1390 -0.1182 0.0406
Sb 2.3967 -4.6148 -0.4065

=====

b | ! Zn2SbAs (GGA-PBE, optimized geometry); values from VASP
! V: 20.1 A^3/atom
! N(E_F): 2.050 states/eV/cell
! Spin magnetization: 0.00 μB/cell
&SYSTEM
  ibrav = 0, nat = 4, ntyp = 3
/
ATOMIC_SPECIES
As 74.92 As.upf
Sb 121.76 Sb.upf
Zn 65.41 Zn.upf
CELL_PARAMETERS angstrom
-3.8194 2.2586 -1.6337
1.2491 -2.7797 -3.6154
-2.1538 -2.6865 1.3214
ATOMIC_POSITIONS angstrom
As -2.9866 -0.2139 -0.1562
Sb -0.4524 -2.7331 -1.1470
Zn 0.0000 0.0000 0.0000
Zn -1.2852 -0.2606 -2.6245

=====

c | ! Zn2SbAs (GGA-PBE, optimized geometry); values from VASP
! V: 20.0 A^3/atom
! N(E_F): 1.884 states/eV/cell
! Spin magnetization: 0.00 μB/cell
&SYSTEM
  ibrav = 0, nat = 4, ntyp = 3
/
ATOMIC_SPECIES
Zn 65.41 Zn.upf
As 74.92 As.upf
Sb 121.76 Sb.upf
CELL_PARAMETERS angstrom
-4.5484 1.3941 0.9914
-1.7090 -3.5789 -2.8080
-0.0526 -2.0773 2.6797
ATOMIC_POSITIONS angstrom
Zn -3.1287 -1.0924 -0.9083
Zn 0.0000 0.0000 0.0000
As -2.3005 -0.3416 1.8355
Sb -0.8808 -2.8281 -0.0641

=====

d | ! Zn2SbAs (GGA-PBE, optimized geometry); values from VASP
! V: 22.3 A^3/atom
! N(E_F): 1.291 states/eV/cell
! Spin magnetization: 0.00 μB/cell
&SYSTEM
  ibrav = 0, nat = 4, ntyp = 3
/
ATOMIC_SPECIES
Zn 65.41 Zn.upf
Sb 121.76 Sb.upf
As 74.92 As.upf
CELL_PARAMETERS angstrom
-0.6032 -2.4970 1.7869
3.2697 -1.7469 -1.3373
3.7843 2.9498 5.3993
ATOMIC_POSITIONS angstrom
Zn 0.1244 0.0970 0.1776
Zn 2.2686 -1.3929 1.5593
Sb 4.4934 0.3413 4.7336
As 1.4565 1.1353 2.0781

=====

Energies relative to the most stable structure are a 0; b 163; c 192; d 12, reported in meV/atom.

=====

a | ! Zn2SbAs (GGA-PBE, optimized geometry); values from VASP
! V: 25.6 A^3/atom
! N(E_F): 4.374 states/eV/cell
! Spin magnetization: 0.00 μB/cell
&SYSTEM
  ibrav = 0, nat = 8, ntyp = 3
/
ATOMIC_SPECIES
Zn 65.41 Zn.upf
As 74.92 As.upf
Sb 121.76 Sb.upf
CELL_PARAMETERS angstrom
5.9813 0.0000 0.0000
0.0000 5.9813 0.0000
2.9906 2.9906 5.7319
ATOMIC_POSITIONS angstrom
Zn 1.7003 4.4860 1.4330
Zn 7.4766 7.2716 4.2989
Zn 4.4860 4.6909 4.2989
Zn 4.2810 1.4953 1.4330
As 2.9906 2.9906 0.0000
As 2.9906 5.9813 2.8659
Sb 5.9813 2.9906 2.8659
Sb 0.0000 0.0000 0.0000

=====

b | ! Zn2SbAs (GGA-PBE, optimized geometry); values from VASP
! V: 20.0 A^3/atom
! N(E_F): 2.308 states/eV/cell
! Spin magnetization: 0.00 μB/cell
&SYSTEM
  ibrav = 0, nat = 4, ntyp = 3
/
ATOMIC_SPECIES
Zn 65.41 Zn.upf
Sb 121.76 Sb.upf
As 74.92 As.upf
CELL_PARAMETERS angstrom
-1.5511 -2.9516 -1.4563
0.2197 -1.6992 3.2098
-5.4611 2.1293 1.5010
ATOMIC_POSITIONS angstrom
Zn -2.5407 0.9906 0.6983
Zn -0.1898 0.0740 0.0522
Sb -4.7615 -0.7284 2.0025
As -2.0309 -1.7930 1.2520

=====

c | ! Zn2SbAs (GGA-PBE, optimized geometry); values from VASP
! V: 20.6 A^3/atom
! N(E_F): 1.638 states/eV/cell
! Spin magnetization: 0.00 μB/cell
&SYSTEM
  ibrav = 0, nat = 4, ntyp = 3
/
ATOMIC_SPECIES
As 74.92 As.upf
Zn 65.41 Zn.upf
Sb 121.76 Sb.upf
CELL_PARAMETERS angstrom
6.2446 -0.0479 0.0414
3.9308 4.8524 -0.0414
-5.0190 -2.5477 2.7051
ATOMIC_POSITIONS angstrom
As 5.0392 2.3794 0.0000
Zn 0.2153 0.1016 0.0000
Zn 2.5569 -0.3799 1.3733
Sb 2.4327 2.5579 1.3319

=====

Energies relative to the most stable structure are a 0; b 139; c 66, reported in meV/atom.